[1]
! Os2RuF, optimized geometry, DFT PBE; values from VASP
! **Total magnetic moment**: 0.0 μB/f.u.
! **Formation energy (no corrections)**: 12.25 kcal/mol of atoms
! **SG**: Fm-3m
&SYSTEM
  ibrav = 0, nat = 4, ntyp = 3
/
ATOMIC_SPECIES
Ru 101.07 Ru.upf
Os 190.23 Os.upf
F 19.00 F.upf
CELL_PARAMETERS angstrom
2.064 1.331 3.450
2.200 3.617 -0.113
-1.390 3.391 2.123
ATOMIC_POSITIONS crystal
Ru 0.500 0.500 0.500
Os 0.250 0.250 0.250
Os 0.750 0.750 0.750
F 0.000 0.000 0.000

[2]
! SbOsRu2F, optimized geometry, DFT PBE; values from VASP
! **Total magnetic moment**: 0.0 μB/f.u.
! **Formation energy (no corrections)**: 15.14 kcal/mol of atoms
! **SG**: P4/mmm
&SYSTEM
  ibrav = 0, nat = 5, ntyp = 4
/
ATOMIC_SPECIES
Sb 121.76 Sb.upf
F 19.00 F.upf
Os 190.23 Os.upf
Ru 101.07 Ru.upf
CELL_PARAMETERS angstrom
-2.052 1.319 4.116
-0.164 -3.757 1.122
4.317 0.415 2.020
ATOMIC_POSITIONS crystal
Sb 0.500 0.500 0.500
F 0.000 0.500 0.000
Os 0.000 0.000 0.000
Ru 0.000 0.000 0.500
Ru 0.500 0.000 0.000

[3]
! SiOsRuF2, optimized geometry, DFT PBE; values from VASP
! **Total magnetic moment**: 0.0 μB/f.u.
! **Formation energy (no corrections)**: -4.55 kcal/mol of atoms
! **SG**: P4/mmm
&SYSTEM
  ibrav = 0, nat = 5, ntyp = 4
/
ATOMIC_SPECIES
Ru 101.07 Ru.upf
Si 28.09 Si.upf
Os 190.23 Os.upf
F 19.00 F.upf
CELL_PARAMETERS angstrom
-2.918 -1.771 -1.023
3.135 -3.552 -2.792
0.239 -2.064 2.894
ATOMIC_POSITIONS crystal
Ru 0.000 0.500 0.000
Si 0.000 0.000 0.000
Os 0.500 0.500 0.500
F 0.000 0.000 0.500
F 0.500 0.000 0.000

[4]
! OsSF, optimized geometry, DFT PBE; values from VASP
! **Total magnetic moment**: 0.0 μB/f.u.
! **Formation energy (no corrections)**: -14.96 kcal/mol of atoms
! **SG**: Cmcm
&SYSTEM
  ibrav = 0, nat = 6, ntyp = 3
/
ATOMIC_SPECIES
S 32.06 S.upf
F 19.00 F.upf
Os 190.23 Os.upf
CELL_PARAMETERS angstrom
3.365 0.000 -0.193
0.000 4.544 0.000
-1.324 0.000 6.318
ATOMIC_POSITIONS crystal
S 0.347 0.250 0.694
S 0.653 0.750 0.306
F 0.103 0.250 0.205
F 0.897 0.750 0.795
Os 0.723 0.250 0.445
Os 0.277 0.750 0.555

[5]
! Os2SF, optimized geometry, DFT PBE; values from VASP
! **Total magnetic moment**: 0.0 μB/f.u.
! **Formation energy (no corrections)**: 13.90 kcal/mol of atoms
! **SG**: Fm-3m
&SYSTEM
  ibrav = 0, nat = 4, ntyp = 3
/
ATOMIC_SPECIES
S 32.06 S.upf
Os 190.23 Os.upf
F 19.00 F.upf
CELL_PARAMETERS angstrom
0.000 2.900 2.900
2.900 0.000 2.900
2.900 2.900 0.000
ATOMIC_POSITIONS crystal
S 0.500 0.500 0.500
Os 0.250 0.250 0.250
Os 0.750 0.750 0.750
F 0.000 0.000 0.000

[6]
! Os3SF, optimized geometry, DFT PBE; values from VASP
! **Total magnetic moment**: 2.6 μB/f.u.
! **Formation energy (no corrections)**: 32.50 kcal/mol of atoms
! **SG**: Pm-3m
&SYSTEM
  ibrav = 0, nat = 5, ntyp = 3
/
ATOMIC_SPECIES
S 32.06 S.upf
Os 190.23 Os.upf
F 19.00 F.upf
CELL_PARAMETERS angstrom
4.357 0.000 0.000
0.000 4.357 0.000
0.000 0.000 4.357
ATOMIC_POSITIONS crystal
S 0.000 0.000 0.000
Os 0.000 0.500 0.000
Os 0.000 0.000 0.500
Os 0.500 0.000 0.000
F 0.500 0.500 0.500

[7]
! Os2SF, optimized geometry, DFT PBE; values from VASP
! **Total magnetic moment**: 0.9 μB/f.u.
! **Formation energy (no corrections)**: 17.05 kcal/mol of atoms
! **SG**: I-42d
&SYSTEM
  ibrav = 0, nat = 8, ntyp = 3
/
ATOMIC_SPECIES
S 32.06 S.upf
Os 190.23 Os.upf
F 19.00 F.upf
CELL_PARAMETERS angstrom
-0.084 5.351 -0.465
-1.522 0.423 5.135
3.685 3.071 3.649
ATOMIC_POSITIONS crystal
S 0.000 0.000 0.000
S 0.750 0.250 0.500
Os 0.650 0.125 0.250
Os 0.100 0.625 0.250
Os 0.375 0.350 0.750
Os 0.875 0.900 0.750
F 0.500 0.500 0.000
F 0.250 0.750 0.500

[8]
! OsSeS2F, optimized geometry, DFT PBE; values from VASP
! **Total magnetic moment**: 0.0 μB/f.u.
! **Formation energy (no corrections)**: 1.81 kcal/mol of atoms
! **SG**: P4/mmm
&SYSTEM
  ibrav = 0, nat = 5, ntyp = 4
/
ATOMIC_SPECIES
S 32.06 S.upf
Os 190.23 Os.upf
Se 78.96 Se.upf
F 19.00 F.upf
CELL_PARAMETERS angstrom
4.591 0.000 0.000
0.000 4.071 0.000
0.000 0.000 4.591
ATOMIC_POSITIONS crystal
S 0.000 0.000 0.500
S 0.500 0.000 0.000
Os 0.000 0.000 0.000
Se 0.500 0.500 0.500
F 0.000 0.500 0.000

[9]
! Sn2OsSF, optimized geometry, DFT PBE; values from VASP
! **Total magnetic moment**: 0.0 μB/f.u.
! **Formation energy (no corrections)**: 12.21 kcal/mol of atoms
! **SG**: P4/mmm
&SYSTEM
  ibrav = 0, nat = 5, ntyp = 4
/
ATOMIC_SPECIES
S 32.06 S.upf
Os 190.23 Os.upf
Sn 118.71 Sn.upf
F 19.00 F.upf
CELL_PARAMETERS angstrom
-1.898 -2.865 3.897
3.338 -0.744 1.079
-0.053 4.198 3.061
ATOMIC_POSITIONS crystal
S 0.000 0.000 0.000
Os 0.500 0.500 0.500
Sn 0.000 0.000 0.500
Sn 0.500 0.000 0.000
F 0.000 0.500 0.000

[10]
! TcOsS2F, optimized geometry, DFT PBE; values from VASP
! **Total magnetic moment**: 4.9 μB/f.u.
! **Formation energy (no corrections)**: 13.22 kcal/mol of atoms
! **SG**: P4/mmm
&SYSTEM
  ibrav = 0, nat = 5, ntyp = 4
/
ATOMIC_SPECIES
S 32.06 S.upf
Os 190.23 Os.upf
Tc 98.00 Tc.upf
F 19.00 F.upf
CELL_PARAMETERS angstrom
-3.357 2.818 -0.360
-3.520 -3.973 1.730
0.617 1.267 4.165
ATOMIC_POSITIONS crystal
S 0.000 0.000 0.500
S 0.500 0.000 0.000
Os 0.000 0.000 0.000
Tc 0.000 0.500 0.000
F 0.500 0.500 0.500

[11]
! YOsSF2, optimized geometry, DFT PBE; values from VASP
! **Total magnetic moment**: 0.0 μB/f.u.
! **Formation energy (no corrections)**: -15.84 kcal/mol of atoms
! **SG**: P4/mmm
&SYSTEM
  ibrav = 0, nat = 5, ntyp = 4
/
ATOMIC_SPECIES
Y 88.91 Y.upf
S 32.06 S.upf
Os 190.23 Os.upf
F 19.00 F.upf
CELL_PARAMETERS angstrom
4.422 0.000 0.000
0.000 4.366 0.000
0.000 0.000 4.422
ATOMIC_POSITIONS crystal
Y 0.500 0.500 0.500
S 0.000 0.000 0.000
Os 0.000 0.500 0.000
F 0.000 0.000 0.500
F 0.500 0.000 0.000

[12]
! Sb3OsF, optimized geometry, DFT PBE; values from VASP
! **Total magnetic moment**: 0.0 μB/f.u.
! **Formation energy (no corrections)**: 7.96 kcal/mol of atoms
! **SG**: Pm-3m
&SYSTEM
  ibrav = 0, nat = 5, ntyp = 3
/
ATOMIC_SPECIES
Sb 121.76 Sb.upf
Os 190.23 Os.upf
F 19.00 F.upf
CELL_PARAMETERS angstrom
5.168 0.000 0.000
0.000 5.168 0.000
0.000 0.000 5.168
ATOMIC_POSITIONS crystal
Sb 0.000 0.500 0.000
Sb 0.000 0.000 0.500
Sb 0.500 0.000 0.000
Os 0.000 0.000 0.000
F 0.500 0.500 0.500

[13]
! Sb2OsF, optimized geometry, DFT PBE; values from VASP
! **Total magnetic moment**: 0.0 μB/f.u.
! **Formation energy (no corrections)**: -1.40 kcal/mol of atoms
! **SG**: I-42d
&SYSTEM
  ibrav = 0, nat = 8, ntyp = 3
/
ATOMIC_SPECIES
Sb 121.76 Sb.upf
Os 190.23 Os.upf
F 19.00 F.upf
CELL_PARAMETERS angstrom
5.713 0.000 0.000
0.000 5.713 0.000
2.857 2.857 6.210
ATOMIC_POSITIONS crystal
Sb 0.631 0.125 0.250
Sb 0.119 0.625 0.250
Sb 0.375 0.369 0.750
Sb 0.875 0.881 0.750
Os 0.000 0.000 0.000
Os 0.750 0.250 0.500
F 0.500 0.500 0.000
F 0.250 0.750 0.500

[14]
! SbOs3F, optimized geometry, DFT PBE; values from VASP
! **Total magnetic moment**: 0.0 μB/f.u.
! **Formation energy (no corrections)**: 37.43 kcal/mol of atoms
! **SG**: Pm-3m
&SYSTEM
  ibrav = 0, nat = 5, ntyp = 3
/
ATOMIC_SPECIES
Sb 121.76 Sb.upf
Os 190.23 Os.upf
F 19.00 F.upf
CELL_PARAMETERS angstrom
4.296 0.000 0.000
0.000 4.296 0.000
0.000 0.000 4.296
ATOMIC_POSITIONS crystal
Sb 0.500 0.500 0.500
Os 0.000 0.500 0.000
Os 0.000 0.000 0.500
Os 0.500 0.000 0.000
F 0.000 0.000 0.000

[15]
! Sb2Os2F, optimized geometry, DFT PBE; values from VASP
! **Total magnetic moment**: 0.0 μB/f.u.
! **Formation energy (no corrections)**: -1.47 kcal/mol of atoms
! **SG**: I4/mmm
&SYSTEM
  ibrav = 0, nat = 5, ntyp = 3
/
ATOMIC_SPECIES
Sb 121.76 Sb.upf
Os 190.23 Os.upf
F 19.00 F.upf
CELL_PARAMETERS angstrom
-0.261 3.549 1.089
0.346 -1.064 3.549
7.327 1.932 1.816
ATOMIC_POSITIONS crystal
Sb 0.388 0.388 0.224
Sb 0.612 0.612 0.776
Os 0.750 0.250 0.500
Os 0.250 0.750 0.500
F 0.000 0.000 0.000

[16]
! Sb2OsF, optimized geometry, DFT PBE; values from VASP
! **Total magnetic moment**: 0.0 μB/f.u.
! **Formation energy (no corrections)**: -6.93 kcal/mol of atoms
! **SG**: Fm-3m
&SYSTEM
  ibrav = 0, nat = 4, ntyp = 3
/
ATOMIC_SPECIES
Sb 121.76 Sb.upf
Os 190.23 Os.upf
F 19.00 F.upf
CELL_PARAMETERS angstrom
0.000 3.243 3.243
3.243 0.000 3.243
3.243 3.243 0.000
ATOMIC_POSITIONS crystal
Sb 0.250 0.250 0.250
Sb 0.750 0.750 0.750
Os 0.500 0.500 0.500
F 0.000 0.000 0.000

[17]
! Sb3OsF, optimized geometry, DFT PBE; values from VASP
! **Total magnetic moment**: 0.0 μB/f.u.
! **Formation energy (no corrections)**: 14.39 kcal/mol of atoms
! **SG**: Pm-3m
&SYSTEM
  ibrav = 0, nat = 5, ntyp = 3
/
ATOMIC_SPECIES
Sb 121.76 Sb.upf
Os 190.23 Os.upf
F 19.00 F.upf
CELL_PARAMETERS angstrom
-0.909 1.064 4.515
-3.368 -3.315 0.103
3.190 -3.197 1.395
ATOMIC_POSITIONS crystal
Sb 0.000 0.500 0.000
Sb 0.000 0.000 0.500
Sb 0.500 0.000 0.000
Os 0.500 0.500 0.500
F 0.000 0.000 0.000

[18]
! SbOs2F, optimized geometry, DFT PBE; values from VASP
! **Total magnetic moment**: 0.0 μB/f.u.
! **Formation energy (no corrections)**: 13.34 kcal/mol of atoms
! **SG**: Fm-3m
&SYSTEM
  ibrav = 0, nat = 4, ntyp = 3
/
ATOMIC_SPECIES
Sb 121.76 Sb.upf
Os 190.23 Os.upf
F 19.00 F.upf
CELL_PARAMETERS angstrom
-0.808 -0.176 4.322
-3.185 -2.617 1.538
1.035 -3.614 2.286
ATOMIC_POSITIONS crystal
Sb 0.500 0.500 0.500
Os 0.250 0.250 0.250
Os 0.750 0.750 0.750
F 0.000 0.000 0.000

[19]
! SbOs2F, optimized geometry, DFT PBE; values from VASP
! **Total magnetic moment**: 0.0 μB/f.u.
! **Formation energy (no corrections)**: 10.80 kcal/mol of atoms
! **SG**: I-42d
&SYSTEM
  ibrav = 0, nat = 8, ntyp = 3
/
ATOMIC_SPECIES
Sb 121.76 Sb.upf
Os 190.23 Os.upf
F 19.00 F.upf
CELL_PARAMETERS angstrom
4.047 0.000 0.000
0.000 4.047 0.000
2.024 2.024 8.423
ATOMIC_POSITIONS crystal
Sb 0.000 0.000 0.000
Sb 0.750 0.250 0.500
Os 0.544 0.125 0.250
Os 0.206 0.625 0.250
Os 0.375 0.456 0.750
Os 0.875 0.794 0.750
F 0.500 0.500 0.000
F 0.250 0.750 0.500

[20]
! SbOs3F, optimized geometry, DFT PBE; values from VASP
! **Total magnetic moment**: 5.6 μB/f.u.
! **Formation energy (no corrections)**: 59.77 kcal/mol of atoms
! **SG**: Pm-3m
&SYSTEM
  ibrav = 0, nat = 5, ntyp = 3
/
ATOMIC_SPECIES
Sb 121.76 Sb.upf
Os 190.23 Os.upf
F 19.00 F.upf
CELL_PARAMETERS angstrom
-1.692 2.867 -3.637
-4.034 -2.814 -0.342
-2.274 2.859 3.311
ATOMIC_POSITIONS crystal
Sb 0.000 0.000 0.000
Os 0.000 0.500 0.000
Os 0.000 0.000 0.500
Os 0.500 0.000 0.000
F 0.500 0.500 0.500

[21]
! Sb2Os2F, optimized geometry, DFT PBE; values from VASP
! **Total magnetic moment**: 0.0 μB/f.u.
! **Formation energy (no corrections)**: 4.02 kcal/mol of atoms
! **SG**: P4/mbm
&SYSTEM
  ibrav = 0, nat = 10, ntyp = 3
/
ATOMIC_SPECIES
Sb 121.76 Sb.upf
Os 190.23 Os.upf
F 19.00 F.upf
CELL_PARAMETERS angstrom
-4.099 0.391 6.381
6.323 -0.866 4.116
0.381 3.054 0.057
ATOMIC_POSITIONS crystal
Sb 0.340 0.840 0.000
Sb 0.840 0.660 0.000
Sb 0.660 0.160 0.000
Sb 0.160 0.340 0.000
Os 0.136 0.636 0.500
Os 0.636 0.864 0.500
Os 0.864 0.364 0.500
Os 0.364 0.136 0.500
F 0.000 0.000 0.000
F 0.500 0.500 0.000

[22]
! Sc2SbOsF, optimized geometry, DFT PBE; values from VASP
! **Total magnetic moment**: 0.0 μB/f.u.
! **Formation energy (no corrections)**: 12.45 kcal/mol of atoms
! **SG**: P4/mmm
&SYSTEM
  ibrav = 0, nat = 5, ntyp = 4
/
ATOMIC_SPECIES
Sc 44.96 Sc.upf
Sb 121.76 Sb.upf
Os 190.23 Os.upf
F 19.00 F.upf
CELL_PARAMETERS angstrom
-4.405 -3.120 0.818
1.886 -3.390 -2.772
2.396 -2.238 4.366
ATOMIC_POSITIONS crystal
Sc 0.000 0.000 0.500
Sc 0.500 0.000 0.000
Sb 0.000 0.000 0.000
Os 0.000 0.500 0.000
F 0.500 0.500 0.500

[23]
! Sb2TeOsF, optimized geometry, DFT PBE; values from VASP
! **Total magnetic moment**: 0.0 μB/f.u.
! **Formation energy (no corrections)**: 16.22 kcal/mol of atoms
! **SG**: P4/mmm
&SYSTEM
  ibrav = 0, nat = 5, ntyp = 4
/
ATOMIC_SPECIES
Sb 121.76 Sb.upf
Te 127.60 Te.upf
Os 190.23 Os.upf
F 19.00 F.upf
CELL_PARAMETERS angstrom
-1.033 0.468 4.502
-4.395 -1.209 -0.883
1.161 -4.779 0.763
ATOMIC_POSITIONS crystal
Sb 0.000 0.500 0.000
Sb 0.500 0.000 0.000
Te 0.000 0.000 0.500
Os 0.500 0.500 0.500
F 0.000 0.000 0.000

[24]
! Sb2TeOsF, optimized geometry, DFT PBE; values from VASP
! **Total magnetic moment**: 0.0 μB/f.u.
! **Formation energy (no corrections)**: 8.47 kcal/mol of atoms
! **SG**: P4/mmm
&SYSTEM
  ibrav = 0, nat = 5, ntyp = 4
/
ATOMIC_SPECIES
Sb 121.76 Sb.upf
Te 127.60 Te.upf
Os 190.23 Os.upf
F 19.00 F.upf
CELL_PARAMETERS angstrom
-1.265 2.693 -4.162
3.652 -2.398 -2.661
-3.506 -3.796 -1.391
ATOMIC_POSITIONS crystal
Sb 0.000 0.500 0.000
Sb 0.500 0.000 0.000
Te 0.000 0.000 0.500
Os 0.000 0.000 0.000
F 0.500 0.500 0.500

[25]
! TiSbOs2F, optimized geometry, DFT PBE; values from VASP
! **Total magnetic moment**: 0.0 μB/f.u.
! **Formation energy (no corrections)**: 20.08 kcal/mol of atoms
! **SG**: P4/mmm
&SYSTEM
  ibrav = 0, nat = 5, ntyp = 4
/
ATOMIC_SPECIES
Sb 121.76 Sb.upf
F 19.00 F.upf
Os 190.23 Os.upf
Ti 47.87 Ti.upf
CELL_PARAMETERS angstrom
-2.418 3.497 2.462
-3.448 -1.312 -1.523
-0.525 -3.050 3.816
ATOMIC_POSITIONS crystal
Sb 0.000 0.000 0.000
F 0.000 0.500 0.000
Os 0.000 0.000 0.500
Os 0.500 0.000 0.000
Ti 0.500 0.500 0.500

[26]
! TiSbOs2F, optimized geometry, DFT PBE; values from VASP
! **Total magnetic moment**: 2.0 μB/f.u.
! **Formation energy (no corrections)**: 30.52 kcal/mol of atoms
! **SG**: P4/mmm
&SYSTEM
  ibrav = 0, nat = 5, ntyp = 4
/
ATOMIC_SPECIES
Sb 121.76 Sb.upf
F 19.00 F.upf
Os 190.23 Os.upf
Ti 47.87 Ti.upf
CELL_PARAMETERS angstrom
4.559 0.000 0.000
0.000 5.277 0.000
0.000 0.000 4.559
ATOMIC_POSITIONS crystal
Sb 0.000 0.500 0.000
F 0.500 0.500 0.500
Os 0.000 0.000 0.500
Os 0.500 0.000 0.000
Ti 0.000 0.000 0.000

[27]
! TiSb2OsF, optimized geometry, DFT PBE; values from VASP
! **Total magnetic moment**: 0.0 μB/f.u.
! **Formation energy (no corrections)**: 4.90 kcal/mol of atoms
! **SG**: P4/mmm
&SYSTEM
  ibrav = 0, nat = 5, ntyp = 4
/
ATOMIC_SPECIES
Sb 121.76 Sb.upf
F 19.00 F.upf
Os 190.23 Os.upf
Ti 47.87 Ti.upf
CELL_PARAMETERS angstrom
-1.240 1.921 4.338
-1.696 -3.286 0.970
4.216 -1.610 1.919
ATOMIC_POSITIONS crystal
Sb 0.000 0.000 0.500
Sb 0.500 0.000 0.000
F 0.000 0.000 0.000
Os 0.500 0.500 0.500
Ti 0.000 0.500 0.000

[28]
! ScOsF2, optimized geometry, DFT PBE; values from VASP
! **Total magnetic moment**: 1.8 μB/f.u.
! **Formation energy (no corrections)**: -14.94 kcal/mol of atoms
! **SG**: R-3m
&SYSTEM
  ibrav = 0, nat = 4, ntyp = 3
/
ATOMIC_SPECIES
Sc 44.96 Sc.upf
Os 190.23 Os.upf
F 19.00 F.upf
CELL_PARAMETERS angstrom
1.999 1.953 3.372
3.597 -1.745 1.787
3.908 1.909 -0.513
ATOMIC_POSITIONS crystal
Sc 0.000 0.000 0.000
Os 0.500 0.500 0.500
F 0.807 0.807 0.807
F 0.193 0.193 0.193